A geometry-optimized AgSnBi2 structure. Source: the Alexandria database, functional PBE.

## Properties
formation energy from the elements = 0.7 eV/f.u.
magnetization = 0.000 μB/f.u.
total DFT energy (no corrections) = -3.47 eV per atom
density of states at the Fermi level = 3.13 states/eV/cell

```
8
Lattice="-0.8537 6.2037 2.7134 -6.5178 -1.4940 1.3650 -1.9655 0.0853 7.7693" Properties=species:S:1:pos:R:3 pbc="T T T"
Sn -3.2525 4.3219 6.2610
Sn 0.0000 0.0000 0.0000
Bi -1.8248 3.6035 3.7614
Bi -4.3523 1.8040 7.3802
Bi -7.8104 4.2111 9.3717
Bi -4.6866 -0.0286 3.1820
Ag -6.0846 0.4731 5.5868
Ag -3.6858 2.3548 2.0392
```


A geometry-optimized Cr3GePd structure. Source: the Alexandria database, functional PBE.

## Properties
formation energy from the elements = 6.9 eV/f.u.
E above lowest polymorph = 112 meV/atom
magnetization = 0.001 μB/f.u.
total DFT energy (no corrections) = -6.36 eV per atom
density of states at the Fermi level = 8.87 states/eV/cell

```
5
Lattice="4.3420 0.0000 0.0000 0.0000 4.3420 0.0000 0.0000 0.0000 4.3420" Properties=species:S:1:pos:R:3 pbc="T T T"
Pd 2.1710 2.1710 2.1710
Cr 2.1710 0.0000 0.0000
Cr 0.0000 0.0000 2.1710
Cr 0.0000 2.1710 0.0000
Ge 0.0000 0.0000 0.0000
```